1) Computed, not measured: a relaxed structure of SmEu2Pd at the PBE level of DFT.

Values from the calculation:
D(E_F) = 3.33 states/eV/atom

Cell and atoms, written as POSCAR:
```
SmEu2Pd
1.0
3.790 0.000 0.000
1.895 3.282 0.000
1.895 1.094 10.853
Eu Pd Sm
2 1 1
Direct
0.893 0.893 0.322
0.107 0.107 0.678
0.500 0.500 0.500
0.000 0.000 0.000
```



2) Computed, not measured: a relaxed structure of SmEu2Pd at the PBE level of DFT.

Values from the calculation:
D(E_F) = 4.19 states/eV/atom

Cell and atoms, written as POSCAR:
```
SmEu2Pd
1.0
-0.273 3.215 -1.713
-2.767 0.934 2.194
5.951 3.673 5.942
Eu Sm Pd
2 1 1
Direct
0.000 0.000 0.809
0.000 0.000 0.191
0.500 0.500 0.500
0.500 0.500 0.000
```



Least stable = 1)